The following is a DFT calculation (PBE) of an optimized crystal structure of B3C2.

Lattice parameters (Å, degrees): 11.7673 11.7673 11.7673 12.80 12.80 12.80
Closest atoms and distances in Å follow each position.
Sites, in units of the cell vectors:
B1 0.2007 0.2007 0.2007  4 B 1.69-1.77
B2 0.8410 0.8410 0.8410  4 B 1.77-1.82
B3 0.3989 0.3989 0.3989  4 C 1.62-1.74
B4 0.6116 0.6116 0.6116  1 C 1.58
B5 0.2490 0.2490 0.2490  4 B 1.69-1.83
B6 0.7891 0.7891 0.7891  3 C 1.53
C1 0.0489 0.0489 0.0489  1 C 1.52, 3 B 1.62
C2 0.4487 0.4487 0.4487  3 B 1.53
C3 0.0054 0.0054 0.0054  4 C 1.52-1.61
C4 0.6568 0.6568 0.6568  1 B 1.58, 3 C 1.61

Properties
E above lowest polymorph = 0.306 eV/atom
DFT formation energy = 0.517 eV per atom
total energy = -7.1788 eV/atom

***

The following is a DFT calculation (PBE) of an optimized crystal structure of BC.

Lattice parameters (Å, degrees): 4.7968 4.5126 4.5740 95.39 105.52 121.37
Closest atoms and distances in Å follow each position.
Sites, in units of the cell vectors:
B1 0.1866 0.8733 0.5899  2 C 1.64-1.66, 1 B 1.68
B2 0.0518 0.6861 0.1514  3 B 1.70-1.89, 1 C 1.71
B3 0.3232 0.6889 0.9736  3 B 1.70-1.89, 1 C 1.71
B4 0.1884 0.5017 0.5351  2 C 1.64-1.66, 1 B 1.68
B5 0.7910 0.1054 0.1678  2 C 1.57-1.59, 1 B 1.69
B6 0.5840 0.2696 0.9572  2 C 1.57-1.59, 1 B 1.69
C1 0.5080 0.4958 0.4769  3 C 1.51-1.58, 1 B 1.64
C2 0.3739 0.3728 0.1086  2 C 1.56-1.59, 2 B 1.59-1.71
C3 0.8093 0.1461 0.5193  2 C 1.51-1.53, 2 B 1.57-1.66
C4 0.5657 0.2289 0.6057  2 C 1.51-1.53, 2 B 1.57-1.66
C5 0.0011 0.0022 0.0164  2 C 1.56-1.59, 2 B 1.59-1.71
C6 0.8670 0.8792 0.6481  3 C 1.51-1.58, 1 B 1.64

Properties
E above lowest polymorph = 0.287 eV/atom
DFT formation energy = 0.437 eV per atom
total energy = -7.5133 eV/atom

***

The following is a DFT calculation (PBE) of an optimized crystal structure of BC.

Lattice parameters (Å, degrees): 6.3356 6.3356 5.2905 99.96 99.96 23.86
Closest atoms and distances in Å follow each position.
Sites, in units of the cell vectors:
B1 0.0190 0.0190 0.9580  3 C 1.57-1.60
B2 0.9107 0.9107 0.2786  1 C 1.52
B3 0.3290 0.3290 0.1370  1 C 1.68, 3 B 1.72-1.74
B4 0.2231 0.2231 0.3078  2 C 1.55, 1 B 1.72
B5 0.5873 0.5873 0.5436  4 C 1.62-1.69
B6 0.3527 0.3527 0.7563  3 C 1.58-1.59
C1 0.9993 0.9993 0.5179  3 B 1.52-1.69, 1 C 1.58
C2 0.9211 0.9211 0.7237  3 B 1.57-1.59, 1 C 1.58
C3 0.6566 0.6566 0.3117  1 C 1.54, 3 B 1.55-1.62
C4 0.2404 0.2404 0.8580  2 C 1.57, 2 B 1.58-1.68
C5 0.6698 0.6698 0.8223  3 C 1.57-1.62, 1 B 1.64
C6 0.5910 0.5910 0.0351  2 C 1.54-1.62, 2 B 1.60

Properties
E above lowest polymorph = 0.250 eV/atom
DFT formation energy = 0.401 eV per atom
total energy = -7.5498 eV/atom

***

The following is a DFT calculation (PBE) of an optimized crystal structure of BC.

Lattice parameters (Å, degrees): 7.3787 6.8384 6.8384 157.48 141.92 44.23
Closest atoms and distances in Å follow each position.
Sites, in units of the cell vectors:
B1 0.0484 0.3425 0.7059  3 C 1.61-1.62, 1 B 1.74
B2 0.6668 0.3002 0.3666  4 B 1.66-1.74
B3 0.4438 0.1800 0.2638  1 C 1.63, 1 B 1.71
B4 0.6626 0.9844 0.6782  3 C 1.58-1.63
B5 0.4494 0.7756 0.6738  1 C 1.62, 2 B 1.66
B6 0.6281 0.6254 0.0027  2 C 1.60-1.66
C1 0.0965 0.1228 0.9737  3 C 1.53-1.60, 1 B 1.63
C2 0.0218 0.0059 0.0158  3 C 1.53-1.61, 1 B 1.63
C3 0.1070 0.7817 0.3253  1 C 1.53, 3 B 1.62
C4 0.9785 0.6659 0.3126  3 C 1.53-1.60, 1 B 1.60
C5 0.4960 0.4999 0.9961  1 C 1.57, 3 B 1.58-1.66
C6 0.1510 0.4657 0.6854  3 C 1.57-1.61, 1 B 1.61

Properties
E above lowest polymorph = 0.287 eV/atom
DFT formation energy = 0.437 eV per atom
total energy = -7.5133 eV/atom